1.
Computed, not measured: K3Br after structural relaxation at the GGA-PBEsol level of DFT.

POSCAR file:
```
K3Br
1.0
4.1058 0.0000 0.0000
0.0000 4.1058 0.0000
0.0000 0.0000 11.5352
Br K
1 3
Direct
0.0000 0.0000 0.0000
0.0000 0.0000 0.5000
0.5000 0.5000 0.1654
0.5000 0.5000 0.8346
```

Calculated values
Energy above the most stable polymorph in this dataset = 0.031 eV/atom

2.
Computed, not measured: KBr after structural relaxation at the GGA-PBEsol level of DFT.

POSCAR file:
```
KBr
1.0
-5.4961 -0.1550 0.8292
2.8270 -4.7228 -0.7890
0.9776 -0.4823 6.3894
K Br
2 2
Direct
0.6667 0.3333 0.2500
0.3333 0.6667 0.7500
0.3333 0.6667 0.2500
0.6667 0.3333 0.7500
```

3.
Computed, not measured: K2Br3 after structural relaxation at the GGA-PBEsol level of DFT.

POSCAR file:
```
K2Br3
1.0
-1.3372 4.7635 -1.1852
-4.4989 0.9078 -2.1953
-5.1573 2.7108 5.7945
K Br
2 3
Direct
0.5892 0.5892 0.2325
0.4108 0.4108 0.7675
0.8288 0.8288 0.5136
0.1712 0.1712 0.4864
0.0000 0.0000 0.0000
```

Calculated values
Energy above the most stable polymorph in this dataset = 0.000 eV/atom

4.
Computed, not measured: KBr after structural relaxation at the GGA-PBEsol level of DFT.

POSCAR file:
```
KBr
1.0
-0.0398 -1.0425 3.9769
3.0586 -4.4830 -3.2702
5.4882 6.4244 1.7390
Br K
3 3
Direct
0.3979 0.7958 0.3016
0.0810 0.1620 0.9964
0.2507 0.5013 0.6437
0.8031 0.6062 0.9699
0.9686 0.9372 0.6107
0.6654 0.3308 0.3111
```

5.
Computed, not measured: KBr after structural relaxation at the GGA-PBEsol level of DFT.

POSCAR file:
```
KBr
1.0
5.1657 0.0000 0.0000
2.5828 4.4736 0.0000
2.5828 1.4912 4.2178
Br K
1 1
Direct
0.0000 0.0000 0.0000
0.2500 0.2500 0.2500
```

6.
Computed, not measured: K2Br after structural relaxation at the GGA-PBEsol level of DFT.

POSCAR file:
```
K2Br
1.0
-1.6699 0.5590 -3.6224
-2.7426 -2.8313 0.8273
-7.3512 12.1794 7.5076
K Br
4 2
Direct
0.4392 0.4392 0.8784
0.8108 0.3108 0.6216
0.5608 0.5608 0.1216
0.6892 0.1892 0.3784
0.0000 0.0000 0.0000
0.2500 0.7500 0.5000
```

Calculated values
Energy above the most stable polymorph in this dataset = 0.038 eV/atom

Table of electronic total energy (eV per atom), in record order: -2.10 -3.18 -2.77 -3.17 -3.11 -2.44
Table of volume (Å³/cell), in record order: 194 174 172 200 97 257
Table of formation energy (no corrections) (eV per atom), in record order: -0.7844 -1.6750 -1.1988 -1.6714 -1.6074 -1.0565